Entry 1:
Cd2GeAu (GGA-PBE, optimized geometry); formation energy = 0.044 eV per atom
1.0
-0.489 -0.440 -4.127
-2.279 -3.709 0.665
-3.733 2.328 0.195
Cd Ge Au
2 1 1
direct
0.000 0.000 0.500
0.000 0.500 0.000
0.500 0.000 0.000
0.500 0.500 0.500

=====

Entry 2:
CdGeAu6 (GGA-PBE, optimized geometry); relative energy among the computed polymorphs = 0.0 kJ/mol of formula units; formation energy = -0.014 eV per atom
1.0
-2.157 3.928 -2.467
-2.357 -4.084 -1.985
-1.983 0.426 6.255
Au Ge Cd
6 1 1
direct
0.135 0.621 0.250
0.865 0.379 0.750
0.240 0.240 0.501
0.760 0.760 0.499
0.621 0.135 0.250
0.379 0.865 0.750
0.500 0.500 0.000
0.000 0.000 0.000

=====

Entry 3:
CdGeAu2 (GGA-PBE, optimized geometry); relative energy among the computed polymorphs = 20.8 kJ/mol of formula units; formation energy = -0.014 eV per atom
1.0
-2.843 0.839 1.497
0.780 -1.947 2.574
3.219 5.382 3.096
Cd Ge Au
1 1 2
direct
0.500 0.500 0.500
0.500 0.500 0.000
0.000 0.000 0.762
0.000 0.000 0.238

=====

Entry 4:
Cd2GeAu2 (GGA-PBE, optimized geometry); relative energy among the computed polymorphs = 49.5 kJ/mol of formula units; formation energy = 0.098 eV per atom
1.0
-2.909 0.262 -2.718
-1.035 -3.782 0.742
-6.283 0.366 3.831
Cd Au Ge
2 2 1
direct
0.250 0.750 0.500
0.750 0.250 0.500
0.598 0.598 0.803
0.402 0.402 0.197
0.000 0.000 0.000

=====

Entry 5:
Cd8GeAu6 (GGA-PBE, optimized geometry); formation energy = -0.150 eV per atom
1.0
-6.820 2.185 -2.044
-4.113 -5.208 -3.381
-5.572 -2.779 4.086
Au Cd Ge
6 8 1
direct
0.265 0.946 0.630
0.054 0.370 0.735
0.630 0.265 0.946
0.735 0.054 0.370
0.370 0.735 0.054
0.946 0.630 0.265
0.473 0.114 0.771
0.334 0.334 0.334
0.114 0.771 0.473
0.527 0.886 0.229
0.229 0.527 0.886
0.666 0.666 0.666
0.771 0.473 0.114
0.886 0.229 0.527
0.000 0.000 0.000

=====

Entry 6:
CdGeAu3 (GGA-PBE, optimized geometry); relative energy among the computed polymorphs = 41.3 kJ/mol of formula units; formation energy = 0.049 eV per atom
1.0
-1.375 1.899 -3.857
-3.247 -4.223 -0.922
-14.729 9.191 9.775
Au Ge Cd
12 4 4
direct
0.250 0.997 0.955
0.250 0.497 0.455
0.250 0.503 0.955
0.247 0.750 0.207
0.253 0.250 0.707
0.750 0.003 0.045
0.747 0.750 0.293
0.750 0.497 0.045
0.250 0.003 0.455
0.750 0.503 0.545
0.753 0.250 0.793
0.750 0.997 0.545
0.253 0.250 0.846
0.247 0.750 0.346
0.753 0.250 0.654
0.747 0.750 0.154
0.750 0.250 0.390
0.250 0.750 0.610
0.750 0.750 0.890
0.250 0.250 0.110

=====

no.,D(E_F) (states/eV/f.u.)
1,2.02
2,2.48
3,1.34
4,1.71
5,3.58
6,1.30